1.
Below is a relaxed structure of Ti3Zn2Ga, with properties calculated at the GGA-PBE level.

```
Ti3Zn2Ga
1.0
-2.033 2.656 -1.979
-3.325 -1.099 1.940
2.299 8.117 8.537
Ti Ga Zn
6 2 4
Direct
0.500 0.000 0.834
0.500 0.500 0.666
0.500 0.500 0.000
0.500 0.000 0.166
0.500 0.000 0.500
0.500 0.500 0.334
0.000 0.500 0.500
0.000 0.000 0.000
0.000 0.500 0.831
0.000 0.000 0.331
0.000 0.500 0.169
0.000 0.000 0.669
```

Summary:
Distance to the lowest polymorph of the same formula (eV per atom): 0.000
Calculated formation energy (eV/atom): -0.2969
Total magnetization (μB/atom): 0.061


2.
Below is a relaxed structure of Ti2ZnGa3, with properties calculated at the GGA-PBE level.

```
Ti2ZnGa3
1.0
-1.238 -3.617 0.138
3.055 -1.134 -2.317
4.026 0.833 4.899
Ga Zn Ti
3 1 2
Direct
0.327 0.000 0.654
0.673 0.000 0.346
0.500 0.500 0.000
0.000 0.000 0.000
0.158 0.500 0.317
0.842 0.500 0.683
```

Summary:
Distance to the lowest polymorph of the same formula (eV per atom): 0.000
Calculated formation energy (eV/atom): -0.4197
Total magnetization (μB/atom): 0.000


3.
Below is a relaxed structure of Ti4ZnGa5, with properties calculated at the GGA-PBE level.

```
Ti4ZnGa5
1.0
5.394 0.000 0.000
2.697 5.599 0.000
2.697 0.000 5.599
Ti Ga Zn
4 5 1
Direct
0.137 0.254 0.380
0.391 0.380 0.746
0.517 0.620 0.254
0.771 0.746 0.620
0.659 0.000 0.000
0.202 0.851 0.653
0.705 0.149 0.347
0.053 0.653 0.149
0.854 0.347 0.851
0.221 0.000 0.000
```

Summary:
Calculated formation energy (eV/atom): -0.1233
Total magnetization (μB/atom): 0.000